Entry 1:
This record from the Alexandria database describes a geometry-optimized MnBiS2 structure. The functional is PBE.

The structure in POSCAR format:
```
MnBiS2
1.0
1.9726 0.0000 8.2567
-0.9863 1.7084 8.2567
-0.9863 -1.7084 8.2567
Bi S Mn
1 2 1
direct
0.0000 0.0000 0.0000 Bi
0.8845 0.8845 0.8845 S
0.1155 0.1155 0.1155 S
0.5000 0.5000 0.5000 Mn
```

Summary:
Energy relative to the elements, uncorrected = -0.40 eV/atom
Space group = R-3m, No. 166
Raw total energy = -5.726 eV/atom

---

Entry 2:
This record from the Alexandria database describes a geometry-optimized MnBiS2 structure. The functional is PBE.

The structure in POSCAR format:
```
MnBiS2
1.0
6.1175 0.0000 0.0000
0.0000 6.1175 0.0000
3.0588 3.0588 4.7568
Bi Mn S
2 2 4
direct
0.0000 0.0000 0.0000 Bi
0.7500 0.2500 0.5000 Bi
0.2500 0.7500 0.5000 Mn
0.5000 0.5000 0.0000 Mn
0.3750 0.4768 0.7500 S
0.2268 0.6250 0.2500 S
0.5232 0.1250 0.2500 S
0.8750 0.7732 0.7500 S
```

Summary:
Energy relative to the elements, uncorrected = -0.05 eV/atom
Space group = I-42d, No. 122
Raw total energy = -5.379 eV/atom

---

Entry 3:
This record from the Alexandria database describes a geometry-optimized MnBi3S structure. The functional is PBE.

The structure in POSCAR format:
```
MnBi3S
1.0
5.1178 0.0000 0.0000
0.0000 5.1178 0.0000
0.0000 0.0000 5.1178
Bi Mn S
3 1 1
direct
0.5000 0.0000 0.0000 Bi
0.0000 0.5000 0.0000 Bi
0.0000 0.0000 0.5000 Bi
0.0000 0.0000 0.0000 Mn
0.5000 0.5000 0.5000 S
```

Summary:
Energy relative to the lowest polymorph listed for this composition = 0 meV/atom
Energy relative to the elements, uncorrected = 0.44 eV/atom
Space group = Pm-3m, No. 221
Raw total energy = -4.552 eV/atom

---

Entry 4:
This record from the Alexandria database describes a geometry-optimized Mn2BiS4 structure. The functional is PBE.

The structure in POSCAR format:
```
Mn2BiS4
1.0
7.3572 0.9320 -0.4397
0.3901 7.4159 -0.1979
-4.0455 -4.5700 5.9824
Mn Bi S
4 2 8
direct
0.6245 0.3745 0.2495 Mn
0.6254 0.3754 0.7505 Mn
0.6250 0.8751 0.2501 Mn
0.1250 0.3749 0.7499 Mn
0.3140 0.6860 0.5000 Bi
0.9361 0.0640 0.0000 Bi
0.3864 0.1843 0.2857 S
0.8730 0.1281 0.6832 S
0.3779 0.6230 0.1831 S
0.8637 0.5658 0.2144 S
0.3770 0.6220 0.8169 S
0.4343 0.1363 0.7857 S
0.8720 0.1270 0.3168 S
0.8157 0.6137 0.7143 S
```

Summary:
Energy relative to the elements, uncorrected = -0.41 eV/atom
Space group = C2/c, No. 15
Raw total energy = -5.941 eV/atom